VASP calculation (PBEsol) on a relaxed structure of LaTaTc.

a b c (Å): 3.2257 5.0880 14.5273
angles (deg): 90.00 90.00 90.00
Element x y z (fractional)
La: 0.0000 0.0000 0.0000
La: 0.0000 0.5000 0.5000
La: 0.5000 0.0000 0.5000
La: 0.5000 0.5000 0.0000
Ta: 0.0000 0.0000 0.3024
Ta: 0.0000 0.5000 0.8024
Ta: 0.5000 0.0000 0.8024
Ta: 0.5000 0.5000 0.3024
Tc: 0.0000 0.0000 0.6707
Tc: 0.0000 0.5000 0.1707
Tc: 0.5000 0.0000 0.1707
Tc: 0.5000 0.5000 0.6707

* ΔE_f: 0.282 eV/atom



VASP calculation (PBEsol) on a relaxed structure of Zn2CdTe.

a b c (Å): 3.8830 3.8830 5.7660
angles (deg): 90.00 90.00 90.00
Element x y z (fractional)
Zn: 0.0000 0.0000 0.0000
Zn: 0.5000 0.5000 0.4732
Cd: 0.0000 0.0000 0.4960
Te: 0.5000 0.5000 0.9794

* relative energy among the computed polymorphs: 0.024 eV/atom



VASP calculation (PBEsol) on a relaxed structure of TaSb5.

a b c (Å): 6.0020 6.0020 6.0020
angles (deg): 60.00 60.00 60.00
Element x y z (fractional)
Ta: 0.0000 0.0000 0.0000
Sb: 0.3745 0.3745 0.3745
Sb: 0.3745 0.3745 0.8766
Sb: 0.3745 0.8766 0.3745
Sb: 0.7500 0.7500 0.7500
Sb: 0.8766 0.3745 0.3745



The records above give, respectively, energy values of -9.439; -1.873; -5.050 eV/atom.
The records above give, respectively, M_tot values of 0.00; 0.00; 0.00 μB per cell.